Record 1
Below is an optimized crystal structure of Sm2IrBr, with properties calculated at the PBE level.

Properties
polymorph energy (0 for the lowest one) = 0.022 eV/atom
VASP energy = -72.89 eV/cell
formation energy without anion corrections = -1.082 eV per atom
crystal system = trigonal

The structure in POSCAR format:
```
Sm2IrBr
1.0
4.122 0.000 0.000
-2.061 3.570 0.000
0.000 0.000 23.384
Sm Ir Br
6 3 3
direct
0.000 0.000 0.000
0.000 0.000 0.206
0.333 0.667 0.667
0.333 0.667 0.873
0.667 0.333 0.333
0.667 0.333 0.539
0.000 0.000 0.603
0.333 0.667 0.270
0.667 0.333 0.937
0.000 0.000 0.773
0.333 0.667 0.440
0.667 0.333 0.107
```

=====

Record 2
Below is an optimized crystal structure of Sm2IrBr, with properties calculated at the PBE level.

Properties
polymorph energy (0 for the lowest one) = 0.000 eV/atom
VASP energy = -73.16 eV/cell
formation energy without anion corrections = -1.104 eV per atom
crystal system = trigonal

The structure in POSCAR format:
```
Sm2IrBr
1.0
4.125 0.000 0.000
-2.063 3.572 0.000
0.000 0.000 23.108
Sm Ir Br
6 3 3
direct
0.000 0.000 0.231
0.000 0.000 0.769
0.333 0.667 0.436
0.333 0.667 0.898
0.667 0.333 0.102
0.667 0.333 0.564
0.000 0.000 0.500
0.333 0.667 0.167
0.667 0.333 0.833
0.000 0.000 0.000
0.333 0.667 0.667
0.667 0.333 0.333
```

=====

Record 3
Below is an optimized crystal structure of Sm2IrBr, with properties calculated at the PBE level.

Properties
polymorph energy (0 for the lowest one) = 0.185 eV/atom
VASP energy = -23.65 eV/cell
formation energy without anion corrections = -0.919 eV per atom
crystal system = tetragonal

The structure in POSCAR format:
```
Sm2IrBr
1.0
3.464 0.000 0.000
0.000 3.464 0.000
0.000 0.000 8.297
Sm Ir Br
2 1 1
direct
0.000 0.000 0.209
0.000 0.000 0.791
0.500 0.500 0.000
0.500 0.500 0.500
```

=====

Record 4
Below is an optimized crystal structure of Sm2IrBr3, with properties calculated at the PBE level.

Properties
VASP energy = -62.53 eV/cell
formation energy without anion corrections = -1.325 eV per atom
crystal system = monoclinic

The structure in POSCAR format:
```
Sm2IrBr3
1.0
9.064 -2.084 0.000
9.064 2.084 0.000
-7.434 0.000 10.160
Sm Ir Br
4 2 6
direct
0.100 0.100 0.400
0.377 0.377 0.185
0.623 0.623 0.815
0.900 0.900 0.600
0.054 0.054 0.629
0.946 0.946 0.371
0.175 0.175 0.035
0.285 0.285 0.403
0.450 0.450 0.798
0.550 0.550 0.202
0.715 0.715 0.597
0.825 0.825 0.965
```

=====

Record 5
Below is an optimized crystal structure of Sm4Ir2Br, with properties calculated at the PBE level.

Properties
VASP energy = -87.50 eV/cell
formation energy without anion corrections = -0.783 eV per atom
crystal system = tetragonal

The structure in POSCAR format:
```
Sm4Ir2Br
1.0
-4.484 4.484 4.581
4.484 -4.484 4.581
4.484 4.484 -4.581
Sm Ir Br
8 4 2
direct
0.020 0.771 0.117
0.097 0.479 0.749
0.097 0.980 0.751
0.229 0.347 0.249
0.521 0.270 0.617
0.653 0.903 0.383
0.653 0.903 0.883
0.730 0.347 0.251
0.375 0.009 0.134
0.759 0.625 0.634
0.875 0.241 0.866
0.991 0.125 0.366
0.250 0.750 0.500
0.500 0.500 0.000
```

=====

Record 6
Below is an optimized crystal structure of TbSmIrBr, with properties calculated at the PBE level.

Properties
VASP energy = -72.73 eV/cell
formation energy without anion corrections = -1.090 eV per atom
crystal system = trigonal

The structure in POSCAR format:
```
TbSmIrBr
1.0
4.091 0.000 0.000
-2.045 3.543 0.000
0.000 0.000 23.205
Tb Sm Ir Br
3 3 3 3
direct
0.000 0.000 0.000
0.333 0.667 0.667
0.667 0.333 0.333
0.000 0.000 0.207
0.333 0.667 0.873
0.667 0.333 0.540
0.000 0.000 0.605
0.333 0.667 0.271
0.667 0.333 0.938
0.000 0.000 0.433
0.333 0.667 0.099
0.667 0.333 0.766
```